Computed, not measured: an optimized crystal structure of Cd2S at the GGA-PBE level of DFT.

abc: 3.9451 3.9451 5.8190
angles: 90.00 90.00 120.00
Space group P3m1 (No. 156)
Inequivalent atoms, fractional coordinates:
Cd 0.0000 0.0000 0.0000 x1
Cd 0.3333 0.6667 0.6442 x1
S 0.0000 0.0000 0.4318 x1

**Formation energy without anion corrections**: -0.205 eV/atom
**Volume**: 78.4 Å³ per cell
**Calculated total energy**: -6.57 eV for the cell shown

Computed, not measured: an optimized crystal structure of Cd4S at the GGA-PBE level of DFT.

abc: 5.242 5.242 5.242
angles: 90.00 90.00 90.00
Space group Pm-3m (No. 221)
Inequivalent atoms, fractional coordinates:
Cd 0.000 0.000 0.000 x1
Cd 0.000 0.500 0.500 x3
S 0.500 0.500 0.500 x1

**Formation energy without anion corrections**: 0.273 eV/atom
**Volume**: 144.0 Å³ per cell
**Calculated total energy**: -6.42 eV for the cell shown

Computed, not measured: an optimized crystal structure of CdS5 at the GGA-PBE level of DFT.

abc: 4.511 5.591 12.211
angles: 96.59 91.21 93.29
Space group P-1 (No. 2)
Inequivalent atoms, fractional coordinates:
Cd 0.138 0.237 0.249 x2
S 0.059 0.816 0.978 x2
S 0.079 0.723 0.235 x2
S 0.201 0.315 0.901 x2
S 0.366 0.748 0.642 x2
S 0.391 0.067 0.573 x2

**Formation energy without anion corrections**: -0.018 eV/atom
**Volume**: 305.3 Å³ per cell
**Calculated total energy**: -43.32 eV for the cell shown

Computed, not measured: an optimized crystal structure of CdS3 at the GGA-PBE level of DFT.

abc: 4.502 5.028 10.260
angles: 76.34 83.01 89.98
Space group P-1 (No. 2)
Inequivalent atoms, fractional coordinates:
Cd 0.246 0.243 0.015 x2
S 0.218 0.695 0.114 x2
S 0.422 0.315 0.410 x2
S 0.422 0.772 0.411 x2

**Formation energy without anion corrections**: -0.047 eV/atom
**Volume**: 223.9 Å³ per cell
**Calculated total energy**: -26.97 eV for the cell shown

Computed, not measured: an optimized crystal structure of CdS8 at the GGA-PBE level of DFT.

abc: 9.209 6.892 9.230
angles: 90.00 103.76 90.00
Space group C2/m (No. 12)
Inequivalent atoms, fractional coordinates:
Cd 0.000 0.000 0.000 x2
S 0.007 0.000 0.280 x4
S 0.121 0.500 0.729 x4
S 0.210 0.500 0.946 x4
S 0.216 0.000 0.402 x4

**Formation energy without anion corrections**: 0.074 eV/atom
**Volume**: 569.0 Å³ per cell
**Calculated total energy**: -66.55 eV for the cell shown

Computed, not measured: an optimized crystal structure of CdSb2S at the GGA-PBE level of DFT.

abc: 4.869 4.869 19.159
angles: 90.00 90.00 90.00
Space group I-42d (No. 122)
Inequivalent atoms, fractional coordinates:
Cd 0.000 0.000 0.000 x4
Sb 0.181 0.250 0.625 x8
S 0.000 0.000 0.500 x4

**Formation energy without anion corrections**: 0.155 eV/atom
**Volume**: 454.2 Å³ per cell
**Calculated total energy**: -50.67 eV for the cell shown
**Distance to the lowest polymorph of the same formula**: 0.0 kJ per mole of atoms